CoTeSeO6 after structural relaxation. Source: the Open Quantum Materials Database, functional PBE+U.

a = 4.8977 Å, b = 5.2001 Å, c = 8.8079 Å
α = 90.00°, β = 90.00°, γ = 90.00°
Closest atoms and distances in Å follow each position.
Fractional positions:
Co 0.0000 0.5000 0.0253  6 O 2.05-2.27
Co 0.5000 0.0000 0.9747  6 O 2.05-2.27
O 0.2079 0.1748 0.1050  1 Te 1.91, 2 Co 2.05-2.09
O 0.7921 0.8252 0.1050  1 Te 1.91, 2 Co 2.05-2.09
O 0.7291 0.3346 0.2100  1 Se 1.74
O 0.2709 0.6654 0.2100  1 Se 1.74
O 0.3308 0.2864 0.4243  1 Se 1.64
O 0.6692 0.7136 0.4243  1 Se 1.64
O 0.8308 0.2136 0.5757  1 Se 1.64
O 0.1692 0.7864 0.5757  1 Se 1.64
O 0.2291 0.1654 0.7900  1 Se 1.74
O 0.7709 0.8346 0.7900  1 Se 1.74
O 0.7079 0.3252 0.8950  1 Te 1.91, 2 Co 2.05-2.09
O 0.2921 0.6748 0.8950  1 Te 1.91, 2 Co 2.05-2.09
Se 0.5000 0.5000 0.3242  4 O 1.64-1.74
Se 0.0000 0.0000 0.6758  4 O 1.64-1.74
Te 0.0000 0.0000 0.2559  2 O 1.91
Te 0.5000 0.5000 0.7441  2 O 1.91

Values from the calculation:
* crystal system: orthorhombic
* calculated total energy: -5.406 eV per atom